Arrangement one

Here is a geometry-optimized Al3ReSe structure from Alexandria. Energies are from PBE.

a b c (Å): 4.818 4.818 4.818
angles (deg): 90.00 90.00 90.00
Fractional positions:
Al1 0.000 0.000 0.500
Al2 0.000 0.500 0.000
Al3 0.500 0.000 0.000
Re1 0.000 0.000 0.000
Se1 0.500 0.500 0.500

Computed properties:
The value obtained for the volume is 22.4 Å³/atom. Its total magnetization is 0.0 μB per formula unit.


Arrangement two

Here is a geometry-optimized Al3ReSe structure from Alexandria. Energies are from PBE.

a b c (Å): 4.668 4.668 4.668
angles (deg): 90.00 90.00 90.00
Fractional positions:
Al1 0.000 0.000 0.500
Al2 0.000 0.500 0.000
Al3 0.500 0.000 0.000
Re1 0.500 0.500 0.500
Se1 0.000 0.000 0.000

Computed properties:
The value obtained for the volume is 20.3 Å³/atom. Its total magnetization is 1.6 μB per formula unit.


Which one sits at the bottom of the stability order? arrangement two does.


Arrangement one

Here is a geometry-optimized Al2ReSi2 structure from Alexandria. Energies are from PBE.

a b c (Å): 3.516 3.516 12.315
angles (deg): 90.00 90.00 90.00
Fractional positions:
Al1 0.000 0.500 0.250
Al2 0.000 0.500 0.750
Al3 0.500 0.000 0.250
Al4 0.500 0.000 0.750
Re1 0.000 0.000 0.000
Re2 0.500 0.500 0.500
Si1 0.000 0.000 0.404
Si2 0.000 0.000 0.596
Si3 0.500 0.500 0.096
Si4 0.500 0.500 0.904

Computed properties:
The value obtained for the volume is 15.2 Å³/atom. Its total magnetization is 0.0 μB per formula unit.


Arrangement two

Here is a geometry-optimized Al2ReSi2 structure from Alexandria. Energies are from PBE.

a b c (Å): 6.330 6.330 3.683
angles (deg): 90.00 90.00 90.00
Fractional positions:
Al1 0.173 0.327 0.000
Al2 0.327 0.827 0.000
Al3 0.673 0.173 0.000
Al4 0.827 0.673 0.000
Re1 0.000 0.000 0.500
Re2 0.500 0.500 0.500
Si1 0.132 0.632 0.500
Si2 0.368 0.132 0.500
Si3 0.632 0.868 0.500
Si4 0.868 0.368 0.500

Computed properties:
The value obtained for the volume is 14.8 Å³/atom. Its total magnetization is 0.0 μB per formula unit.


Which one sits at the bottom of the stability order? arrangement one does.